No. 1
DFT (SCAN) results for Ba2HfAlCd at its PBEsol-relaxed geometry.

Values from the calculation:
- V (Å³ per cell) = 209.81
- energy of formation (eV/atom) = 0.7828
- total magnetization (Bohr magnetons per cell) = 0.0
- crystal system = tetragonal
- E (eV/cell) = -176.0

Lattice parameters (Å, degrees): 5.264 6.313 6.313 90.00 90.00 90.00
Positions (direct):
Cd1 0.000 0.000 0.000
Ba1 0.000 0.500 0.000
Ba2 0.000 0.000 0.500
Al1 0.500 0.500 0.500
Hf1 0.500 0.000 0.000

***

No. 2
DFT (SCAN) results for SbPPb2 at its PBEsol-relaxed geometry.

Values from the calculation:
- ΔE_f (raw) (eV/f.u.) = 0.800
- V (Å³ per cell) = 106.03
- total magnetization (Bohr magnetons per cell) = 0.0
- crystal system = monoclinic
- E (eV/cell) = -198.4

Lattice parameters (Å, degrees): 3.754 4.558 6.435 105.67 90.00 90.00
Positions (direct):
Sb1 0.000 0.263 0.501
P1 0.500 0.534 0.802
Pb1 0.500 0.670 0.271
Pb2 0.000 0.034 0.927